(1)
Compound: SmMgCuIr
Source: the Alexandria database
Functional: PBE
Structure: relaxed

Unit cell a=4.7545 b=4.7545 c=4.7545 alpha=60.00 beta=60.00 gamma=60.00
Sites, in units of the cell vectors:
Mg: 0.5000 0.5000 0.5000
Ir: 0.7500 0.7500 0.7500
Cu: 0.2500 0.2500 0.2500
Sm: 0.0000 0.0000 0.0000

Computed properties:
* energy of formation: -0.33 eV/atom
* symmetry: F-43m, No. 216
* total moment: 0.00 μB per cell

---

(2)
Compound: MnPtPb
Source: the Alexandria database
Functional: PBE
Structure: relaxed

Unit cell a=4.6305 b=4.6305 c=3.0970 alpha=90.00 beta=90.00 gamma=120.00
Sites, in units of the cell vectors:
Mn: 0.0000 0.0000 0.9763
Pb: 0.6667 0.3333 0.3910
Pt: 0.3333 0.6667 0.6327

Computed properties:
* energy of formation: 0.16 eV/atom
* symmetry: P3m1, No. 156
* total moment: 3.95 μB per cell